Record 1
Crystalline Li2Hg at its relaxed geometry, computed with PBE.

Cell: 7.4448 7.4448 7.4448 Å, 90.00 90.00 90.00°
Space group Fd-3m (No. 227, origin choice 2)
Unique sites:
1 Li 0.0000 0.0000 0.0000 (multiplicity 16)
2 Hg 0.1250 0.1250 0.6250 (multiplicity 8)

Output
- E_form (meV per atom) = -133

***

Record 2
Crystalline RbCr2BiCl at its relaxed geometry, computed with PBE.

Cell: 5.3006 5.3006 7.7066 Å, 90.00 90.00 90.00°
Space group P4/mmm (No. 123)
Unique sites:
1 Rb 0.0000 0.0000 0.0000 (multiplicity 1)
2 Cr 0.0000 0.5000 0.5000 (multiplicity 2)
3 Bi 0.0000 0.0000 0.5000 (multiplicity 1)
4 Cl 0.5000 0.5000 0.0000 (multiplicity 1)

Output
- uncorrected formation energy (eV per atom) = 0.314

***

Record 3
Crystalline Nd2Sm7Sc2 at its relaxed geometry, computed with PBE.

Cell: 3.6572 17.9254 11.1737 Å, 90.00 90.00 90.00°
Space group Imm2 (No. 44)
Unique sites:
1 Nd 0.0000 0.0000 0.0000 (multiplicity 2)
2 Nd 0.0000 0.5000 0.1559 (multiplicity 2)
3 Sm 0.0000 0.0000 0.3597 (multiplicity 2)
4 Sm 0.0000 0.2028 0.0651 (multiplicity 4)
5 Sm 0.0000 0.3333 0.8178 (multiplicity 4)
6 Sm 0.0000 0.3409 0.3158 (multiplicity 4)
7 Sc 0.0000 0.1421 0.5609 (multiplicity 4)

Output
- E_form (meV per atom) = 136
- ΔE to the lowest computed polymorph (meV/atom) = 28

***

Record 4
Crystalline Li2As2PdPt at its relaxed geometry, computed with PBE.

Cell: 5.7813 12.3136 5.6807 Å, 90.00 90.00 90.00°
Space group Ibam (No. 72)
Unique sites:
1 Li 0.2491 0.1567 0.0000 (multiplicity 8)
2 As 0.2501 0.1310 0.5000 (multiplicity 8)
3 Pd 0.0000 0.0000 0.2500 (multiplicity 4)
4 Pt 0.0000 0.5000 0.2500 (multiplicity 4)

Output
- E_form (meV per atom) = -510

***

Record 5
Crystalline LiSb2As at its relaxed geometry, computed with PBE.

Cell: 3.8185 3.8185 6.1941 Å, 90.00 90.00 90.00°
Space group P4/mmm (No. 123)
Unique sites:
1 Li 0.0000 0.0000 0.0000 (multiplicity 1)
2 Sb 0.5000 0.5000 0.2434 (multiplicity 2)
3 As 0.0000 0.0000 0.5000 (multiplicity 1)

Output
- uncorrected formation energy (eV per atom) = 0.027

***

Record 6
Crystalline Pm6Dy12Ho at its relaxed geometry, computed with PBE.

Cell: 13.2445 13.2445 12.6331 Å, 90.00 90.00 120.00°
Space group R-3m (No. 166, hexagonal axes)
Unique sites:
1 Pm 0.0405 0.5203 0.1166 (multiplicity 18)
2 Dy 0.0000 0.2577 0.0000 (multiplicity 18)
3 Dy 0.0910 0.1819 0.7646 (multiplicity 18)
4 Ho 0.0000 0.0000 0.5000 (multiplicity 3)

Output
- E_form (meV per atom) = 213
- ΔE to the lowest computed polymorph (meV/atom) = 89

***

Record 7
Crystalline Sr2CoMo at its relaxed geometry, computed with PBE.

Cell: 3.7847 5.0842 11.7123 Å, 90.00 90.00 90.00°
Space group Amm2 (No. 38)
Unique sites:
1 Sr 0.0000 0.0000 0.0000 (multiplicity 2)
2 Sr 0.5000 0.0000 0.2825 (multiplicity 2)
3 Co 0.0000 0.0000 0.7001 (multiplicity 2)
4 Mo 0.5000 0.0000 0.5964 (multiplicity 2)

Output
- E_form (meV per atom) = 563
- ΔE to the lowest computed polymorph (meV/atom) = 22

***

Record 8
Crystalline LiPr2Lu at its relaxed geometry, computed with PBE.

Cell: 3.5207 3.5207 37.1842 Å, 90.00 90.00 120.00°
Space group R-3m (No. 166, hexagonal axes)
Unique sites:
1 Li 0.0000 0.0000 0.0000 (multiplicity 3)
2 Pr 0.0000 0.0000 0.0897 (multiplicity 6)
3 Lu 0.0000 0.0000 0.5000 (multiplicity 3)

Output
- E_form (meV per atom) = 158
- ΔE to the lowest computed polymorph (meV/atom) = 87

***

Record 9
Crystalline BaNa3Li at its relaxed geometry, computed with PBE.

Cell: 6.9544 6.9544 6.9544 Å, 90.00 90.00 90.00°
Space group Pm-3m (No. 221)
Unique sites:
1 Ba 0.0000 0.0000 0.0000 (multiplicity 1)
2 Na 0.0000 0.0000 0.5000 (multiplicity 3)
3 Li 0.5000 0.5000 0.5000 (multiplicity 1)

Output
- E_form (meV per atom) = 681
- ΔE to the lowest computed polymorph (meV/atom) = 644

***

Record 10
Crystalline Ce2SiPt at its relaxed geometry, computed with PBE.

Cell: 5.8815 4.1385 8.2289 Å, 90.00 109.56 90.00°
Space group P2_1/m (No. 11)
Unique sites:
1 Ce 0.2051 0.2500 0.4160 (multiplicity 2)
2 Ce 0.2842 0.7500 0.0657 (multiplicity 2)
3 Si 0.3575 0.7500 0.7079 (multiplicity 2)
4 Pt 0.1415 0.2500 0.7889 (multiplicity 2)

Output
- uncorrected formation energy (eV per atom) = -0.862

***

Record 11
Crystalline Na8B11C5 at its relaxed geometry, computed with PBE.

Cell: 2.8099 34.3284 5.1454 Å, 90.00 90.00 90.00°
Space group Imm2 (No. 44)
Unique sites:
1 Na 0.0000 0.0625 0.0000 (multiplicity 4)
2 Na 0.0000 0.1889 0.0024 (multiplicity 4)
3 Na 0.0000 0.3116 0.0044 (multiplicity 4)
4 Na 0.0000 0.4367 0.0039 (multiplicity 4)
5 B 0.0000 0.0000 0.3648 (multiplicity 2)
6 B 0.0000 0.1259 0.3505 (multiplicity 4)
7 B 0.0000 0.1258 0.6817 (multiplicity 4)
8 B 0.0000 0.2500 0.3312 (multiplicity 4)
9 B 0.0000 0.3741 0.6395 (multiplicity 4)
10 B 0.0000 0.5000 0.3223 (multiplicity 2)
11 B 0.0000 0.5000 0.6537 (multiplicity 2)
12 C 0.0000 0.0000 0.6657 (multiplicity 2)
13 C 0.0000 0.2499 0.6673 (multiplicity 4)
14 C 0.0000 0.3741 0.3387 (multiplicity 4)

Output
- E_form (meV per atom) = 117
- ΔE to the lowest computed polymorph (meV/atom) = 15

***

Record 12
Crystalline KTcAs2Br at its relaxed geometry, computed with PBE.

Cell: 4.7615 4.7615 5.8976 Å, 90.00 90.00 90.00°
Space group P4/mmm (No. 123)
Unique sites:
1 K 0.0000 0.0000 0.0000 (multiplicity 1)
2 Tc 0.5000 0.5000 0.5000 (multiplicity 1)
3 As 0.0000 0.5000 0.5000 (multiplicity 2)
4 Br 0.5000 0.5000 0.0000 (multiplicity 1)

Output
- uncorrected formation energy (eV per atom) = -0.220
- ΔE to the lowest computed polymorph (meV/atom) = 0